Density functional theory data (PBE) for an optimized crystal structure of Y3Mg2Al.

Cell lengths 3.709, 3.709, 11.385 Å; angles 90.00, 90.00, 90.00 degrees
Positions (direct):
Y1 0.000 0.000 0.000
Y2 0.000 0.000 0.345
Y3 0.000 0.000 0.655
Mg1 0.500 0.500 0.171
Mg2 0.500 0.500 0.829
Al1 0.500 0.500 0.500

## Properties
* relative energy among the computed polymorphs: 9 meV/atom
* space group: P4/mmm
* formation energy: -0.22 eV/atom
* M_tot: 0.3 Bohr magnetons per cell
* D(E_F): 6.4 states/eV/cell